## KScSn2 (PBE)

Data for crystalline KScSn2 at its relaxed geometry.

Cell: 5.376 5.376 5.376 Å, 60.00 60.00 60.00°
Element x y z (fractional)
Sc (0.500, 0.500, 0.500)
K (0.000, 0.000, 0.000)
Sn (0.250, 0.250, 0.250)
Sn (0.750, 0.750, 0.750)

Total energy: -3.95 eV per atom
E above lowest polymorph: 0.273 eV per atom
Fermi-level density of states: 2.82 states/eV/cell
Symmetry: Fm-3m (225)
Energy relative to the elements: -93 meV per atom